1.
The following is a DFT calculation (GGA-PBE) of a relaxed structure of NaSr2CaCl.

Structure (extended XYZ):
```
5
Lattice="6.0737 0.0000 0.0000 0.0000 6.0737 0.0000 0.0000 0.0000 5.6875" Properties=species:S:1:pos:R:3 pbc="T T T"
Sr 3.0368 0.0000 0.0000
Sr 0.0000 3.0368 0.0000
Cl 0.0000 0.0000 0.0000
Na 0.0000 0.0000 2.8438
Ca 3.0368 3.0368 2.8438
```

Calculated values
- total energy (eV for the cell shown) = -11.39
- uncorrected formation energy (kJ/mol of formula units) = -276.0
- energy above the most stable polymorph in this dataset (meV per atom) = 0



2.
The following is a DFT calculation (GGA-PBE) of a relaxed structure of BeO.

Structure (extended XYZ):
```
12
Lattice="-1.3069 -2.3067 0.7348 2.5888 -0.5343 2.9273 -4.8831 4.3980 5.1211" Properties=species:S:1:pos:R:3 pbc="T T T"
O 0.2227 -1.3342 1.3581
O 1.4173 0.2301 3.2433
O -1.9236 0.2813 2.6119
O -1.9602 3.2721 6.7855
O -0.7289 1.8455 4.4971
O -3.4291 1.6372 4.1908
Be 0.6986 1.0379 4.5007
Be -4.6100 2.5404 4.9257
Be -2.0076 0.8212 4.1575
Be -1.2048 -0.5265 1.3545
Be 1.5014 -0.3099 1.6978
Be -0.7794 2.3690 6.0507
```

Calculated values
- total energy (eV for the cell shown) = -84.02
- uncorrected formation energy (kJ/mol of formula units) = -513.2
- energy above the most stable polymorph in this dataset (meV per atom) = 101



3.
The following is a DFT calculation (GGA-PBE) of a relaxed structure of Tb4TlPt.

Structure (extended XYZ):
```
24
Lattice="8.4712 0.0000 4.8908 2.8237 7.9867 4.8908 0.0000 0.0000 9.7817" Properties=species:S:1:pos:R:3 pbc="T T T"
Tb 9.1625 6.4788 9.7817
Tb 7.4050 1.5079 6.7376
Tb 2.1325 1.5079 9.7817
Tb 9.5357 4.4845 12.8287
Tb 9.5357 4.4845 16.5163
Tb 4.4992 3.1814 7.7929
Tb 7.4066 7.4955 16.5163
Tb 3.8900 6.4788 6.7376
Tb 4.4992 3.1814 11.7705
Tb 6.3421 4.4845 14.6725
Tb 7.4066 7.4955 12.8287
Tb 10.6002 7.4955 14.6725
Tb 3.8900 6.4788 12.8257
Tb 5.6475 6.4291 9.7817
Tb 7.4050 1.5079 12.8257
Tb 7.9439 3.1814 9.7817
Pt 6.8499 4.8436 11.8644
Pt 6.8499 4.8436 7.6989
Pt 3.2425 4.8436 9.7817
Pt 5.6475 1.4425 9.7817
Tl 1.8503 1.3083 6.5769
Tl 2.8237 4.0617 4.8908
Tl 1.8503 1.3083 3.2048
Tl 4.7706 1.3083 4.8908
```

Calculated values
- total energy (eV for the cell shown) = -122.65
- energy relative to the elements (eV per atom) = -0.622
- energy above the most stable polymorph in this dataset (meV per atom) = 0



4.
The following is a DFT calculation (GGA-PBE) of a relaxed structure of KNiPd3.

Structure (extended XYZ):
```
5
Lattice="-1.9988 -3.6655 2.2544 -0.8472 -2.1019 -4.1686 4.2190 -2.1586 0.2309" Properties=species:S:1:pos:R:3 pbc="T T T"
K 0.6865 -3.9630 -0.8417
Pd -0.4236 -1.0509 -2.0843
Pd 2.1095 -1.0793 0.1155
Pd -0.9994 -1.8327 1.1272
Ni 0.0000 0.0000 0.0000
```

Calculated values
- total energy (eV for the cell shown) = -20.13
- energy relative to the elements (eV per atom) = 0.465
- energy above the most stable polymorph in this dataset (meV per atom) = 0



5.
The following is a DFT calculation (GGA-PBE) of a relaxed structure of Np3P4Ru7.

Structure (extended XYZ):
```
14
Lattice="3.8185 0.0000 0.9633 1.3937 7.1719 2.5252 0.0056 0.0213 8.0274" Properties=species:S:1:pos:R:3 pbc="T T T"
P 3.1598 3.2493 3.5740
P 0.5819 0.8276 5.7430
P 4.6359 6.3655 5.7728
P 2.0580 3.9439 7.9418
Np 1.4799 1.2741 2.1834
Np 3.7379 5.9190 9.3324
Np 0.6997 3.5966 5.2763
Ru 1.4625 4.3027 2.2524
Ru 2.2191 1.6495 7.3032
Ru 2.8904 1.1098 4.6423
Ru 0.0000 0.0000 0.0000
Ru 2.9987 5.5436 4.2126
Ru 2.3275 6.0833 6.8735
Ru 3.7553 2.8904 9.2634
```

Calculated values
- total energy (eV for the cell shown) = -133.50
- energy relative to the elements (eV per atom) = -0.579



6.
The following is a DFT calculation (GGA-PBE) of a relaxed structure of Mg4P5.

Structure (extended XYZ):
```
9
Lattice="3.6217 -4.6119 5.6775 -0.9295 6.2216 -5.2008 -4.9195 3.4686 5.5125" Properties=species:S:1:pos:R:3 pbc="T T T"
Mg -1.0059 -0.8861 8.6728
Mg -4.5332 7.5104 0.2416
Mg -0.2920 -0.2572 2.5173
Mg -1.3158 2.1799 0.0701
P -2.1462 2.5667 3.4540
P 2.2550 -1.3586 2.4107
P -0.0811 2.5116 2.5352
P 0.4373 2.9682 -1.9340
P 0.0000 0.0000 0.0000
```

Calculated values
- total energy (eV for the cell shown) = -34.17
- energy relative to the elements (eV per atom) = -0.082
- energy above the most stable polymorph in this dataset (meV per atom) = 0